Model P:
Entry from the Alexandria database: a relaxed structure of Tb2SnRu (PBE).

Results
- V: 23.7 A^3/atom

Lattice parameters (Å, degrees): 3.4033 3.4033 8.1961 90.00 90.00 90.00
With the nearest neighbours (Å) after each atom.
Fractional coordinates of all 4 atoms:
1 Tb 0.0000 0.0000 0.2062  4 Ru 2.94
2 Tb 0.0000 0.0000 0.7938  4 Ru 2.94
3 Sn 0.5000 0.5000 0.5000  4 Sn 3.40, 8 Tb 3.40
4 Ru 0.5000 0.5000 0.0000  8 Tb 2.94

Model Q:
Entry from the Alexandria database: a relaxed structure of Tb2SnRu (PBE).

Results
- V: 24.9 A^3/atom

Lattice parameters (Å, degrees): 6.3383 3.6788 8.9353 90.00 107.24 90.00
With the nearest neighbours (Å) after each atom.
Fractional coordinates of all 8 atoms:
1 Tb 0.1806 0.2500 0.3959  2 Ru 2.79
2 Tb 0.2560 0.7500 0.0479  3 Ru 2.84-3.02
3 Tb 0.7440 0.2500 0.9521  3 Ru 2.84-3.02
4 Tb 0.8194 0.7500 0.6041  2 Ru 2.79
5 Sn 0.3688 0.7500 0.7082  2 Ru 2.75
6 Sn 0.6312 0.2500 0.2918  2 Ru 2.75
7 Ru 0.1059 0.2500 0.7961  2 Sn 2.75, 5 Tb 2.79-3.02
8 Ru 0.8941 0.7500 0.2039  2 Sn 2.75, 5 Tb 2.79-3.02

Model R:
Entry from the Alexandria database: a relaxed structure of Tb2SnRu (PBE).

Results
- V: 25.6 A^3/atom

Lattice parameters (Å, degrees): 4.4462 5.0876 9.3209 90.00 103.79 90.00
With the nearest neighbours (Å) after each atom.
Fractional coordinates of all 8 atoms:
1 Tb 0.0772 0.2500 0.1544  4 Ru 2.92
2 Tb 0.2663 0.7500 0.5330  4 Sn 3.11-3.27, 4 Tb 3.43
3 Tb 0.7337 0.2500 0.4670  4 Sn 3.11-3.27, 4 Tb 3.43
4 Tb 0.9228 0.7500 0.8456  4 Ru 2.92
5 Sn 0.3648 0.2500 0.7315  2 Ru 2.74
6 Sn 0.6352 0.7500 0.2685  2 Ru 2.74
7 Ru 0.5000 0.0000 0.0000  2 Ru 2.54, 2 Sn 2.74
8 Ru 0.5000 0.5000 0.0000  2 Ru 2.54, 2 Sn 2.74

Model S:
Entry from the Alexandria database: a relaxed structure of Tb2SnRu (PBE).

Results
- V: 25.0 A^3/atom

Lattice parameters (Å, degrees): 9.2744 9.2744 9.2744 22.21 22.21 22.21
With the nearest neighbours (Å) after each atom.
Fractional coordinates of all 4 atoms:
1 Tb 0.2371 0.2371 0.2371  3 Ru 2.81
2 Tb 0.7629 0.7629 0.7629  3 Ru 2.81
3 Sn 0.0000 0.0000 0.0000  6 Tb 3.33, 6 Sn 3.57
4 Ru 0.5000 0.5000 0.5000  6 Tb 2.81

Which structure wins on stability? model Q wins.

Model P:
Entry from the Alexandria database: a relaxed structure of Tb3Sn4Ru2 (PBE).

Results
- V: 23.8 A^3/atom

Lattice parameters (Å, degrees): 6.0303 6.0303 8.6510 108.09 108.09 46.22
With the nearest neighbours (Å) after each atom.
Fractional coordinates of all 9 atoms:
1 Tb 0.0000 0.0000 0.0000  8 Sn 3.22-3.52
2 Tb 0.3687 0.3687 0.3157  3 Ru 2.95-3.30, 5 Sn 3.23-3.29
3 Tb 0.6313 0.6313 0.6843  3 Ru 2.95-3.30, 5 Sn 3.23-3.29
4 Sn 0.0869 0.0869 0.3946  3 Ru 2.62-2.71
5 Sn 0.2910 0.2910 0.9204  1 Ru 2.63
6 Sn 0.7090 0.7090 0.0796  1 Ru 2.63
7 Sn 0.9131 0.9131 0.6054  3 Ru 2.62-2.71
8 Ru 0.3209 0.3209 0.6316  4 Sn 2.62-2.71
9 Ru 0.6791 0.6791 0.3684  4 Sn 2.62-2.71

Model Q:
Entry from the Alexandria database: a relaxed structure of Tb3Sn4Ru2 (PBE).

Results
- V: 24.3 A^3/atom

Lattice parameters (Å, degrees): 7.6041 7.6041 7.7477 98.59 98.59 90.62
With the nearest neighbours (Å) after each atom.
Fractional coordinates of all 18 atoms:
1 Tb 0.1354 0.8646 0.7500  4 Ru 2.97-3.27, 6 Sn 3.07-3.28
2 Tb 0.2038 0.5074 0.3497  6 Sn 3.11-3.37, 2 Ru 3.18-3.32
3 Tb 0.4926 0.7962 0.1503  6 Sn 3.11-3.37, 2 Ru 3.18-3.32
4 Tb 0.5074 0.2038 0.8497  6 Sn 3.11-3.37, 2 Ru 3.18-3.32
5 Tb 0.7962 0.4926 0.6503  6 Sn 3.11-3.37, 2 Ru 3.18-3.32
6 Tb 0.8646 0.1354 0.2500  4 Ru 2.97-3.27, 6 Sn 3.07-3.28
7 Sn 0.1058 0.2339 0.6074  3 Ru 2.71-2.84, 1 Sn 2.94
8 Sn 0.2063 0.5002 0.9248  2 Ru 2.66-2.83, 1 Sn 2.94
9 Sn 0.2339 0.1058 0.1074  3 Ru 2.71-2.84, 1 Sn 2.94
10 Sn 0.5002 0.2063 0.4248  2 Ru 2.66-2.83, 1 Sn 2.94
11 Sn 0.4998 0.7937 0.5752  2 Ru 2.66-2.83, 1 Sn 2.94
12 Sn 0.7661 0.8942 0.8926  3 Ru 2.71-2.84, 1 Sn 2.94
13 Sn 0.7937 0.4998 0.0752  2 Ru 2.66-2.83, 1 Sn 2.94
14 Sn 0.8942 0.7661 0.3926  3 Ru 2.71-2.84, 1 Sn 2.94
15 Ru 0.0511 0.7747 0.0896  5 Sn 2.66-2.84, 1 Ru 2.77, 1 Tb 2.97
16 Ru 0.2253 0.9489 0.4104  5 Sn 2.66-2.84, 1 Ru 2.77, 1 Tb 2.97
17 Ru 0.7747 0.0511 0.5896  5 Sn 2.66-2.84, 1 Ru 2.77, 1 Tb 2.97
18 Ru 0.9489 0.2253 0.9104  5 Sn 2.66-2.84, 1 Ru 2.77, 1 Tb 2.97

Which structure wins on stability? model P wins.

Model P:
Entry from the Alexandria database: a relaxed structure of TlTcSn2Ru (PBE).

Results
- V: 25.4 A^3/atom

Lattice parameters (Å, degrees): 5.1870 5.1870 4.7249 90.00 90.00 90.00
With the nearest neighbours (Å) after each atom.
Fractional coordinates of all 5 atoms:
1 Tl 0.0000 0.0000 0.0000  8 Sn 3.51, 4 Ru 3.67
2 Tc 0.5000 0.5000 0.5000  2 Ru 2.36, 4 Sn 2.59
3 Sn 0.0000 0.5000 0.5000  2 Tc 2.59
4 Sn 0.5000 0.0000 0.5000  2 Tc 2.59
5 Ru 0.5000 0.5000 0.0000  2 Tc 2.36

Model Q:
Entry from the Alexandria database: a relaxed structure of TlTcSn2Ru (PBE).

Results
- V: 26.0 A^3/atom

Lattice parameters (Å, degrees): 5.1534 5.1534 4.9001 90.00 90.00 90.00
With the nearest neighbours (Å) after each atom.
Fractional coordinates of all 5 atoms:
1 Tl 0.0000 0.0000 0.0000  8 Sn 3.56, 4 Tc 3.64
2 Tc 0.5000 0.5000 0.0000  2 Ru 2.45
3 Sn 0.0000 0.5000 0.5000  2 Ru 2.58
4 Sn 0.5000 0.0000 0.5000  2 Ru 2.58
5 Ru 0.5000 0.5000 0.5000  2 Tc 2.45, 4 Sn 2.58

Which structure wins on stability? model P wins.

Model P:
Entry from the Alexandria database: a relaxed structure of SnTe3Ru (PBE).

Results
- V: 28.9 A^3/atom

Lattice parameters (Å, degrees): 5.2484 5.2484 5.2484 90.00 90.00 90.00
With the nearest neighbours (Å) after each atom.
Fractional coordinates of all 5 atoms:
1 Sn 0.0000 0.0000 0.0000  12 Te 3.71
2 Te 0.0000 0.5000 0.5000  2 Ru 2.62
3 Te 0.5000 0.0000 0.5000  2 Ru 2.62
4 Te 0.5000 0.5000 0.0000  2 Ru 2.62
5 Ru 0.5000 0.5000 0.5000  6 Te 2.62

Model Q:
Entry from the Alexandria database: a relaxed structure of SnTe3Ru (PBE).

Results
- V: 35.8 A^3/atom

Lattice parameters (Å, degrees): 5.6339 5.6339 5.6339 90.00 90.00 90.00
With the nearest neighbours (Å) after each atom.
Fractional coordinates of all 5 atoms:
1 Sn 0.0000 0.0000 0.0000  6 Te 2.82
2 Te 0.0000 0.0000 0.5000  2 Sn 2.82
3 Te 0.0000 0.5000 0.0000  2 Sn 2.82
4 Te 0.5000 0.0000 0.0000  2 Sn 2.82
5 Ru 0.5000 0.5000 0.5000  12 Te 3.98

Which structure wins on stability? model P wins.

Model P:
Entry from the Alexandria database: a relaxed structure of SnTeRu2 (PBE).

Results
- V: 17.7 A^3/atom

Lattice parameters (Å, degrees): 4.6437 4.6437 4.6437 60.00 60.00 60.00
With the nearest neighbours (Å) after each atom.
Fractional coordinates of all 4 atoms:
1 Sn 0.0000 0.0000 0.0000  8 Ru 2.84
2 Te 0.5000 0.5000 0.5000  8 Ru 2.84
3 Ru 0.2500 0.2500 0.2500  4 Sn 2.84, 4 Te 2.84
4 Ru 0.7500 0.7500 0.7500  4 Sn 2.84, 4 Te 2.84

Model Q:
Entry from the Alexandria database: a relaxed structure of SnTeRu2 (PBE).

Results
- V: 26.0 A^3/atom

Lattice parameters (Å, degrees): 7.2030 7.2030 7.2030 131.05 131.05 71.73
With the nearest neighbours (Å) after each atom.
Fractional coordinates of all 8 atoms:
1 Sn 0.0000 0.0000 0.0000  4 Ru 2.60
2 Sn 0.7500 0.2500 0.5000  4 Ru 2.60
3 Te 0.2500 0.7500 0.5000  4 Ru 2.53
4 Te 0.5000 0.5000 0.0000  4 Ru 2.53
5 Ru 0.1346 0.6250 0.0096  2 Te 2.53, 2 Sn 2.60
6 Ru 0.3750 0.3846 0.5096  2 Te 2.53, 2 Sn 2.60
7 Ru 0.6154 0.1250 0.9904  2 Te 2.53, 2 Sn 2.60
8 Ru 0.8750 0.8654 0.4904  2 Te 2.53, 2 Sn 2.60

Which structure wins on stability? model P wins.

Model P:
Entry from the Alexandria database: a relaxed structure of Sn3TeRu (PBE).

Results
- V: 38.1 A^3/atom

Lattice parameters (Å, degrees): 5.7534 5.7534 5.7534 90.00 90.00 90.00
With the nearest neighbours (Å) after each atom.
Fractional coordinates of all 5 atoms:
1 Sn 0.0000 0.0000 0.5000  2 Te 2.88
2 Sn 0.0000 0.5000 0.0000  2 Te 2.88
3 Sn 0.5000 0.0000 0.0000  2 Te 2.88
4 Te 0.0000 0.0000 0.0000  6 Sn 2.88
5 Ru 0.5000 0.5000 0.5000  12 Sn 4.07

Model Q:
Entry from the Alexandria database: a relaxed structure of Sn3TeRu (PBE).

Results
- V: 27.4 A^3/atom

Lattice parameters (Å, degrees): 5.1573 5.1573 5.1573 90.00 90.00 90.00
With the nearest neighbours (Å) after each atom.
Fractional coordinates of all 5 atoms:
1 Sn 0.0000 0.0000 0.5000  2 Ru 2.58
2 Sn 0.0000 0.5000 0.0000  2 Ru 2.58
3 Sn 0.5000 0.0000 0.0000  2 Ru 2.58
4 Te 0.5000 0.5000 0.5000  12 Sn 3.65
5 Ru 0.0000 0.0000 0.0000  6 Sn 2.58

Which structure wins on stability? model Q wins.